# MgNiF2, optimized geometry, DFT PBE with a Hubbard U
# Theoretical density   3.034 g cm⁻³
# Energy relative to the lowest polymorph listed for this composition   29.0 kJ/mol of atoms
# Electronic total energy   -59.9 eV for the cell shown
data_MgNiF2
_cell_length_a 5.423
_cell_length_b 5.423
_cell_length_c 9.008
_cell_angle_alpha 90.00
_cell_angle_beta 90.00
_cell_angle_gamma 90.00
_space_group_name_H-M_alt 'I -4 2 d'
_space_group_IT_number 122
_space_group_name_Hall 'I -4 2bw'
loop_
_atom_site_label
_atom_site_type_symbol
_atom_site_fract_x
_atom_site_fract_y
_atom_site_fract_z
_atom_site_occupancy
Mg1 Mg 0.000 0.000 0.000 1
Ni1 Ni 0.000 0.000 0.500 1
F1 F 0.129 0.250 0.125 1